Compound: NaSrSmS3
Source: the Open Quantum Materials Database
Functional: PBE
Structure: relaxed

Results
Calculated volume (Å³ per atom): 24.8
Uncorrected energy (eV per cell): -60.72
Symmetry: No. 63

a b c (Å): 7.030 7.030 10.580
angles (deg): 90.00 90.00 145.29
Atoms (fractional coordinates):
Na 0.021 0.979 0.750
Na 0.979 0.021 0.250
Sr 0.247 0.753 0.250
Sr 0.753 0.247 0.750
Sm 0.500 0.500 0.000
Sm 0.500 0.500 0.500
S 0.137 0.863 0.557
S 0.137 0.863 0.943
S 0.411 0.589 0.750
S 0.589 0.411 0.250
S 0.863 0.137 0.057
S 0.863 0.137 0.443



Compound: Pt3Se4
Source: the Open Quantum Materials Database
Functional: PBE
Structure: relaxed

Results
Calculated volume (Å³ per atom): 22.8
Uncorrected energy (eV per cell): -65.44
Symmetry: No. 11

a b c (Å): 9.851 3.794 9.851
angles (deg): 90.00 119.96 90.00
Atoms (fractional coordinates):
Pt 0.020 0.250 0.362
Pt 0.158 0.750 0.020
Pt 0.363 0.750 0.843
Pt 0.637 0.250 0.157
Pt 0.842 0.250 0.980
Pt 0.980 0.750 0.638
Se 0.142 0.250 0.180
Se 0.167 0.250 0.833
Se 0.180 0.750 0.538
Se 0.462 0.750 0.143
Se 0.538 0.250 0.857
Se 0.820 0.250 0.462
Se 0.833 0.750 0.167
Se 0.858 0.750 0.820



What did the first record say?
Compound: NaSrSmS3
Source: the Open Quantum Materials Database
Functional: PBE
Structure: relaxed

Results
Calculated volume (Å³ per atom): 24.8
Uncorrected energy (eV per cell): -60.72
Symmetry: No. 63

a b c (Å): 7.030 7.030 10.580
angles (deg): 90.00 90.00 145.29
Atoms (fractional coordinates):
Na 0.021 0.979 0.750
Na 0.979 0.021 0.250
Sr 0.247 0.753 0.250
Sr 0.753 0.247 0.750
Sm 0.500 0.500 0.000
Sm 0.500 0.500 0.500
S 0.137 0.863 0.557
S 0.137 0.863 0.943
S 0.411 0.589 0.750
S 0.589 0.411 0.250
S 0.863 0.137 0.057
S 0.863 0.137 0.443



Question: Which of these has the lowest uncorrected energy?
Answer: Pt3Se4